Entry 1:
{"formula": "Li3CuPd", "functional": "GGA-PBEsol", "state": "optimized geometry", "lattice_angstrom": [[4.577, 0.000, 0.000], [0.000, 4.577, 0.000], [0.000, 0.000, 4.577]], "species": ["Li", "Li", "Li", "Cu", "Pd"], "fractional_positions": [[0.000, 0.000, 0.500], [0.000, 0.500, 0.000], [0.500, 0.000, 0.000], [0.500, 0.500, 0.500], [0.000, 0.000, 0.000]], "final_energy_ev_per_atom": -2.88, "crystal_system": "cubic", "delta_e_f_ev_per_atom": 0.357}

Entry 2:
{"formula": "GaMoPb3", "functional": "GGA-PBEsol", "state": "optimized geometry", "lattice_angstrom": [[5.302, 0.000, 0.000], [0.000, 5.302, 0.000], [0.000, 0.000, 5.302]], "species": ["Ga", "Mo", "Pb", "Pb", "Pb"], "fractional_positions": [[0.000, 0.000, 0.000], [0.500, 0.500, 0.500], [0.000, 0.000, 0.500], [0.000, 0.500, 0.000], [0.500, 0.000, 0.000]], "final_energy_ev_per_atom": -4.18, "crystal_system": "cubic", "delta_e_f_ev_per_atom": 1.243}

Entry 3:
{"formula": "YZn2Ru", "functional": "GGA-PBEsol", "state": "optimized geometry", "lattice_angstrom": [[-2.004, 2.004, 4.051], [2.004, -2.004, 4.051], [2.004, 2.004, -4.051]], "species": ["Y", "Zn", "Zn", "Ru"], "fractional_positions": [[0.000, 0.000, 0.000], [0.250, 0.750, 0.500], [0.750, 0.250, 0.500], [0.500, 0.500, 0.000]], "final_energy_ev_per_atom": -5.30, "crystal_system": "tetragonal", "delta_e_f_ev_per_atom": -0.264}

Entry 4:
{"formula": "CdRuC3", "functional": "GGA-PBEsol", "state": "optimized geometry", "lattice_angstrom": [[4.064, 0.000, 0.000], [0.000, 4.064, 0.000], [0.000, 0.000, 4.064]], "species": ["Cd", "Ru", "C", "C", "C"], "fractional_positions": [[0.000, 0.000, 0.000], [0.500, 0.500, 0.500], [0.000, 0.000, 0.500], [0.000, 0.500, 0.000], [0.500, 0.000, 0.000]], "final_energy_ev_per_atom": -4.35, "crystal_system": "cubic", "delta_e_f_ev_per_atom": 3.712}

Entry 5:
{"formula": "LiNb3H", "functional": "GGA-PBEsol", "state": "optimized geometry", "lattice_angstrom": [[4.122, 0.000, 0.000], [0.000, 4.122, 0.000], [0.000, 0.000, 4.122]], "species": ["Li", "Nb", "Nb", "Nb", "H"], "fractional_positions": [[0.000, 0.000, 0.000], [0.000, 0.500, 0.500], [0.500, 0.000, 0.500], [0.500, 0.500, 0.000], [0.500, 0.500, 0.500]], "final_energy_ev_per_atom": -7.34, "crystal_system": "cubic"}

Entry 6:
{"formula": "LiTc2H", "functional": "GGA-PBEsol", "state": "optimized geometry", "lattice_angstrom": [[0.000, 2.728, 2.728], [2.728, 0.000, 2.728], [2.728, 2.728, 0.000]], "species": ["Li", "Tc", "Tc", "H"], "fractional_positions": [[0.000, 0.000, 0.000], [0.250, 0.250, 0.250], [0.750, 0.750, 0.750], [0.500, 0.500, 0.500]], "final_energy_ev_per_atom": -6.01, "crystal_system": "cubic"}